Rb2CdH2: optimized geometry, PBE.

Summary:
As for the symmetry: I4/mmm (139). The energy above the most stable polymorph in this dataset comes out at 0.0423 eV per atom.

POSCAR file:
```
Rb2CdH2
1.0
-5.077 2.463 -0.706
-2.303 -3.703 3.650
-2.500 3.142 6.039
H Rb Cd
2 2 1
Direct
0.262 0.262 0.476 H
0.738 0.738 0.524 H
0.750 0.250 0.500 Rb
0.250 0.750 0.500 Rb
0.000 0.000 0.000 Cd
```



RbCdH2: optimized geometry, PBE.

Summary:
As for the symmetry: Pnma (62). The energy above the most stable polymorph in this dataset comes out at 0.0074 eV per atom.

POSCAR file:
```
RbCdH2
1.0
-1.303 1.152 -3.325
-3.934 -5.586 -0.394
-10.677 7.052 6.627
Rb Cd H
4 4 8
Direct
0.250 0.382 0.356 Rb
0.250 0.118 0.856 Rb
0.750 0.618 0.644 Rb
0.750 0.882 0.144 Rb
0.250 0.081 0.573 Cd
0.250 0.419 0.073 Cd
0.750 0.919 0.427 Cd
0.750 0.581 0.927 Cd
0.250 0.937 0.681 H
0.250 0.563 0.181 H
0.750 0.063 0.319 H
0.750 0.437 0.819 H
0.250 0.346 0.588 H
0.250 0.154 0.088 H
0.750 0.654 0.412 H
0.750 0.846 0.912 H
```



RbCdHS2: optimized geometry, PBE.

Summary:
The calculation puts the electronic total energy at -33.48 eV per cell. As for the symmetry: P2/c (13).

POSCAR file:
```
RbCdHS2
1.0
5.041 0.000 0.000
0.000 7.112 0.168
0.000 -1.971 6.810
Rb Cd H S
2 2 2 4
Direct
0.252 0.500 0.750 Rb
0.748 0.500 0.250 Rb
0.489 0.000 0.250 Cd
0.511 0.000 0.750 Cd
0.000 0.000 0.000 H
0.000 0.000 0.500 H
0.780 0.817 0.957 S
0.780 0.183 0.543 S
0.220 0.817 0.457 S
0.220 0.183 0.043 S
```



RbCdHSe2: optimized geometry, PBE.

Summary:
The calculation puts the electronic total energy at -30.65 eV per cell. As for the symmetry: P2/c (13).

POSCAR file:
```
RbCdHSe2
1.0
-5.141 1.234 0.928
-1.551 -1.088 -7.142
-0.962 -6.437 3.230
Rb Cd H Se
2 2 2 4
Direct
0.256 0.500 0.750 Rb
0.744 0.500 0.250 Rb
0.493 0.000 0.250 Cd
0.507 0.000 0.750 Cd
0.000 0.000 0.000 H
0.000 0.000 0.500 H
0.777 0.811 0.950 Se
0.777 0.189 0.550 Se
0.223 0.811 0.450 Se
0.223 0.189 0.050 Se
```



Rb2CdTeH: optimized geometry, PBE.

Summary:
The calculation puts the electronic total energy at -11.12 eV per cell. As for the symmetry: P4/mmm (123).

POSCAR file:
```
Rb2CdTeH
1.0
-5.783 -0.423 1.150
0.879 -5.299 2.467
0.652 1.973 4.005
H Te Rb Cd
1 1 2 1
Direct
0.000 0.000 0.000 H
0.500 0.500 0.500 Te
0.000 0.500 0.000 Rb
0.500 0.000 0.000 Rb
0.000 0.000 0.500 Cd
```



Rb2TlCdH: optimized geometry, PBE.

Summary:
As for the symmetry: P4/mmm (123). The energy above the most stable polymorph in this dataset comes out at 0.0000 eV per atom.

POSCAR file:
```
Rb2TlCdH
1.0
-5.331 -1.774 -0.761
1.457 -5.165 1.829
-1.184 1.426 4.972
H Tl Rb Cd
1 1 2 1
Direct
0.000 0.000 0.000 H
0.000 0.000 0.500 Tl
0.000 0.500 0.000 Rb
0.500 0.000 0.000 Rb
0.500 0.500 0.500 Cd
```



Rb2TlCdH: optimized geometry, PBE.

Summary:
As for the symmetry: P4/mmm (123). The energy above the most stable polymorph in this dataset comes out at 0.3139 eV per atom.

POSCAR file:
```
Rb2TlCdH
1.0
7.034 0.000 0.000
0.000 5.551 0.000
0.000 0.000 7.034
H Tl Rb Cd
1 1 2 1
Direct
0.500 0.500 0.500 H
0.000 0.500 0.000 Tl
0.000 0.000 0.500 Rb
0.500 0.000 0.000 Rb
0.000 0.000 0.000 Cd
```



Rb3TlCd2H8: optimized geometry, PBE.

Summary:
The calculation puts the electronic total energy at -34.82 eV per cell. As for the symmetry: P-3m1 (164).

POSCAR file:
```
Rb3TlCd2H8
1.0
6.298 0.000 0.000
-3.149 5.455 0.000
0.000 0.000 8.185
Rb Tl Cd H
3 1 2 8
Direct
0.333 0.667 0.662 Rb
0.667 0.333 0.338 Rb
0.000 0.000 0.000 Rb
0.000 0.000 0.500 Tl
0.333 0.667 0.209 Cd
0.667 0.333 0.791 Cd
0.333 0.667 0.992 H
0.667 0.333 0.008 H
0.177 0.823 0.306 H
0.823 0.177 0.694 H
0.177 0.355 0.306 H
0.823 0.645 0.694 H
0.645 0.823 0.306 H
0.355 0.177 0.694 H
```



Cd2ReH: optimized geometry, PBE.

Summary:
As for the symmetry: Fm-3m (225). The energy above the most stable polymorph in this dataset comes out at 0.3485 eV per atom.

POSCAR file:
```
Cd2ReH
1.0
0.257 3.102 3.421
0.821 4.448 -0.968
-3.354 3.140 0.531
Re H Cd
1 1 2
Direct
0.500 0.500 0.500 Re
0.000 0.000 0.000 H
0.250 0.250 0.250 Cd
0.750 0.750 0.750 Cd
```



CdRe2H8: optimized geometry, PBE.

Summary:
The calculation puts the electronic total energy at -49.71 eV per cell. As for the symmetry: Cm (8).

POSCAR file:
```
CdRe2H8
1.0
-4.853 1.682 1.782
-2.789 -3.715 -0.580
0.780 1.262 4.440
Cd Re H
1 2 8
Direct
0.946 0.926 0.926 Cd
0.606 0.661 0.333 Re
0.606 0.333 0.661 Re
0.460 0.050 0.760 H
0.460 0.760 0.050 H
0.825 0.530 0.530 H
0.935 0.078 0.545 H
0.935 0.545 0.078 H
0.312 0.587 0.587 H
0.457 0.396 0.098 H
0.457 0.098 0.396 H
```



CdReH3: optimized geometry, PBE.

Summary:
As for the symmetry: Pm-3m (221). The energy above the most stable polymorph in this dataset comes out at 0.0000 eV per atom.

POSCAR file:
```
CdReH3
1.0
3.585 0.000 0.000
0.000 3.585 0.000
0.000 0.000 3.585
Re H Cd
1 3 1
Direct
0.000 0.000 0.000 Re
0.000 0.500 0.000 H
0.000 0.000 0.500 H
0.500 0.000 0.000 H
0.500 0.500 0.500 Cd
```



CdReH3: optimized geometry, PBE.

Summary:
As for the symmetry: Pm-3m (221). The energy above the most stable polymorph in this dataset comes out at 1.0410 eV per atom.

POSCAR file:
```
CdReH3
1.0
-2.007 -1.579 2.559
2.505 -2.580 0.372
1.664 1.980 2.526
Re H Cd
1 3 1
Direct
0.500 0.500 0.500 Re
0.000 0.500 0.000 H
0.000 0.000 0.500 H
0.500 0.000 0.000 H
0.000 0.000 0.000 Cd
```



Cd2ReH: optimized geometry, PBE.

Summary:
As for the symmetry: I-42d (122). The energy above the most stable polymorph in this dataset comes out at 0.0000 eV per atom.

POSCAR file:
```
Cd2ReH
1.0
-3.291 0.157 6.219
-4.944 -4.338 -2.506
-2.802 -4.020 2.602
Re H Cd
2 2 4
Direct
0.000 0.000 0.000 Re
0.750 0.250 0.500 Re
0.500 0.500 0.000 H
0.250 0.750 0.500 H
0.543 0.125 0.250 Cd
0.207 0.625 0.250 Cd
0.375 0.457 0.750 Cd
0.875 0.793 0.750 Cd
```



YCdReH2: optimized geometry, PBE.

Summary:
The calculation puts the electronic total energy at -22.15 eV per cell. As for the symmetry: P4/mmm (123).

POSCAR file:
```
YCdReH2
1.0
3.940 0.000 0.000
0.000 6.170 0.000
0.000 0.000 3.940
Y Re H Cd
1 1 2 1
Direct
0.000 0.000 0.000 Y
0.500 0.500 0.500 Re
0.000 0.000 0.500 H
0.500 0.000 0.000 H
0.000 0.500 0.000 Cd
```



Zr2CdReH: optimized geometry, PBE.

Summary:
The calculation puts the electronic total energy at -34.38 eV per cell. As for the symmetry: P4/mmm (123).

POSCAR file:
```
Zr2CdReH
1.0
-4.305 -1.513 0.798
1.653 -4.238 0.880
0.361 0.899 3.653
Re H Zr Cd
1 1 2 1
Direct
0.000 0.000 0.500 Re
0.000 0.000 0.000 H
0.000 0.500 0.000 Zr
0.500 0.000 0.000 Zr
0.500 0.500 0.500 Cd
```



CdH3Rh: optimized geometry, PBE.

Summary:
The calculation puts the electronic total energy at -34.72 eV per cell. As for the symmetry: Cmcm (63).

POSCAR file:
```
CdH3Rh
1.0
1.469 -7.008 0.000
1.469 7.008 0.000
0.000 0.000 4.787
H Rh Cd
6 2 2
Direct
0.155 0.535 0.250 H
0.465 0.845 0.250 H
0.535 0.155 0.750 H
0.845 0.465 0.750 H
0.000 0.000 0.000 H
0.000 0.000 0.500 H
0.431 0.569 0.250 Rh
0.569 0.431 0.750 Rh
0.127 0.873 0.250 Cd
0.873 0.127 0.750 Cd
```



CdH3Rh: optimized geometry, PBE.

Summary:
The calculation puts the electronic total energy at -73.42 eV per cell. As for the symmetry: C2/c (15).

POSCAR file:
```
CdH3Rh
1.0
13.260 0.000 1.612
4.927 3.993 -1.236
-4.927 3.993 1.236
H Rh Cd
12 4 4
Direct
0.481 0.358 0.471 H
0.019 0.971 0.858 H
0.519 0.642 0.529 H
0.981 0.029 0.142 H
0.047 0.273 0.301 H
0.453 0.801 0.773 H
0.953 0.727 0.699 H
0.547 0.199 0.227 H
0.662 0.882 0.988 H
0.838 0.488 0.382 H
0.338 0.118 0.012 H
0.162 0.512 0.618 H
0.750 0.146 0.646 Rh
0.250 0.854 0.354 Rh
0.750 0.515 0.015 Rh
0.250 0.485 0.985 Rh
0.244 0.355 0.378 Cd
0.256 0.878 0.855 Cd
0.756 0.645 0.622 Cd
0.744 0.122 0.145 Cd
```



CdH3Rh: optimized geometry, PBE.

Summary:
The calculation puts the electronic total energy at -73.03 eV per cell. As for the symmetry: C2/c (15).

POSCAR file:
```
CdH3Rh
1.0
7.824 0.000 0.072
3.224 5.864 -2.233
-3.224 5.864 2.233
H Rh Cd
12 4 4
Direct
0.426 0.413 0.418 H
0.074 0.918 0.913 H
0.574 0.587 0.582 H
0.926 0.082 0.087 H
0.130 0.443 0.191 H
0.370 0.691 0.943 H
0.870 0.557 0.809 H
0.630 0.309 0.057 H
0.670 0.119 0.866 H
0.830 0.366 0.619 H
0.330 0.881 0.134 H
0.170 0.634 0.381 H
0.344 0.271 0.543 Rh
0.156 0.043 0.771 Rh
0.656 0.729 0.457 Rh
0.844 0.957 0.229 Rh
0.750 0.041 0.541 Cd
0.250 0.959 0.459 Cd
0.750 0.639 0.139 Cd
0.250 0.361 0.861 Cd
```



CdH3Rh: optimized geometry, PBE.

Summary:
The calculation puts the electronic total energy at -72.85 eV per cell. As for the symmetry: P2_1/m (11).

POSCAR file:
```
CdH3Rh
1.0
21.967 0.000 -3.012
0.000 4.524 0.000
-7.877 0.000 3.154
H Rh Cd
12 4 4
Direct
0.250 0.000 0.749 H
0.750 0.000 0.251 H
0.250 0.500 0.751 H
0.750 0.500 0.249 H
0.301 0.250 0.164 H
0.699 0.750 0.836 H
0.199 0.750 0.336 H
0.801 0.250 0.664 H
0.423 0.250 0.698 H
0.577 0.750 0.302 H
0.077 0.750 0.802 H
0.923 0.250 0.198 H
0.105 0.250 0.506 Rh
0.895 0.750 0.494 Rh
0.395 0.750 0.994 Rh
0.605 0.250 0.006 Rh
0.304 0.750 0.170 Cd
0.696 0.250 0.830 Cd
0.196 0.250 0.330 Cd
0.804 0.750 0.670 Cd
```



CdH3Rh: optimized geometry, PBE.

Summary:
The calculation puts the electronic total energy at -35.01 eV per cell. As for the symmetry: I-4m2 (119).

POSCAR file:
```
CdH3Rh
1.0
-3.400 0.064 0.630
-0.470 -2.565 -2.272
-0.909 -6.842 5.280
H Rh Cd
6 2 2
Direct
0.280 0.933 0.134 H
0.067 0.720 0.866 H
0.067 0.414 0.866 H
0.586 0.933 0.134 H
0.270 0.270 0.460 H
0.730 0.730 0.540 H
0.000 0.000 0.000 Rh
0.250 0.750 0.500 Rh
0.640 0.140 0.720 Cd
0.860 0.360 0.280 Cd
```



Cd5HRh2: optimized geometry, PBE.

Summary:
The calculation puts the electronic total energy at -45.52 eV per cell. As for the symmetry: Cmcm (63).

POSCAR file:
```
Cd5HRh2
1.0
3.015 0.000 0.000
-1.507 4.874 0.000
0.000 0.000 18.360
Cd H Rh
10 2 4
Direct
0.903 0.805 0.887 Cd
0.903 0.805 0.613 Cd
0.366 0.732 0.455 Cd
0.366 0.732 0.045 Cd
0.538 0.076 0.250 Cd
0.462 0.924 0.750 Cd
0.634 0.268 0.545 Cd
0.634 0.268 0.955 Cd
0.097 0.195 0.113 Cd
0.097 0.195 0.387 Cd
0.701 0.402 0.750 H
0.299 0.598 0.250 H
0.816 0.632 0.323 Rh
0.816 0.632 0.177 Rh
0.184 0.368 0.677 Rh
0.184 0.368 0.823 Rh
```



CdH4Rh: optimized geometry, PBE.

Summary:
As for the symmetry: C2/c (15). The energy above the most stable polymorph in this dataset comes out at 0.0000 eV per atom.

POSCAR file:
```
CdH4Rh
1.0
-4.826 -1.762 -2.633
-1.279 -1.988 4.542
1.233 5.350 0.054
Cd H Rh
2 8 2
Direct
0.405 0.655 0.311 Cd
0.595 0.345 0.689 Cd
0.001 0.195 0.976 H
0.007 0.699 0.557 H
0.475 0.781 0.976 H
0.050 0.858 0.557 H
0.950 0.142 0.443 H
0.525 0.219 0.024 H
0.993 0.301 0.443 H
0.999 0.805 0.024 H
0.249 0.999 0.997 Rh
0.751 0.001 0.003 Rh
```